Density functional theory data (PBE-GGA) for crystalline PrCu2Au8 at its relaxed geometry.

For the formation energy from the elements, the calculation gives -0.036 eV/atom. Its total energy is -3.599 eV per atom. For the size of the total moment, the calculation gives 0.00 μB/f.u.

It has space group P4/mmm (No. 123), with a = 5.558 Å, b = 5.558 Å, c = 8.247 Å, α = 90.00°, β = 90.00° and γ = 90.00°. Symmetry generates all atoms from Pr at (0.000, 0.000, 0.000), Cu at (0.000, 0.500, 0.500) and Au at (0.253, 0.253, 0.284).